# 1
Compound: Ho3As2Pd2Rh5
Source: the Alexandria database
Functional: PBE-GGA
Structure: optimized geometry

Summary:
calculated formation energy = -0.8323 eV/atom

Lattice parameters (Å, degrees): 13.5028 13.5028 13.5028 162.81 162.81 24.41
Fractional positions:
Ho  0.0000  0.0000  0.0000
Ho  0.1665  0.1665  0.0000
Ho  0.8335  0.8335  0.0000
As  0.3693  0.3693  0.0000
As  0.6307  0.6307  0.0000
Pd  0.2749  0.2749  0.0000
Pd  0.7251  0.7251  0.0000
Rh  0.0792  0.5792  0.5000
Rh  0.4208  0.9208  0.5000
Rh  0.5000  0.5000  0.0000
Rh  0.5792  0.0792  0.5000
Rh  0.9208  0.4208  0.5000

---

# 2
Compound: Pr8ErCd6
Source: the Alexandria database
Functional: PBE-GGA
Structure: optimized geometry

Summary:
calculated formation energy = -0.0950 eV/atom

Lattice parameters (Å, degrees): 8.4817 8.4817 8.4817 65.85 65.85 65.85
Fractional positions:
Pr  0.0433  0.7193  0.3848
Pr  0.1649  0.1649  0.1649
Pr  0.2807  0.6152  0.9567
Pr  0.3848  0.0433  0.7193
Pr  0.6152  0.9567  0.2807
Pr  0.7193  0.3848  0.0433
Pr  0.8351  0.8351  0.8351
Pr  0.9567  0.2807  0.6152
Er  0.5000  0.5000  0.5000
Cd  0.1270  0.4515  0.7751
Cd  0.2249  0.8730  0.5485
Cd  0.4515  0.7751  0.1270
Cd  0.5485  0.2249  0.8730
Cd  0.7751  0.1270  0.4515
Cd  0.8730  0.5485  0.2249

---

# 3
Compound: Li2TcO4
Source: the Alexandria database
Functional: PBE-GGA
Structure: optimized geometry

Summary:
energy relative to the lowest polymorph listed for this composition = 0 meV/atom

Lattice parameters (Å, degrees): 6.0435 6.0435 8.4482 90.00 90.00 90.00
Fractional positions:
Li  0.0000  0.2423  0.0000
Li  0.0000  0.7577  0.5000
Li  0.2423  0.0000  0.7500
Li  0.2594  0.2594  0.3750
Li  0.2594  0.7406  0.1250
Li  0.7406  0.2594  0.6250
Li  0.7406  0.7406  0.8750
Li  0.7577  0.0000  0.2500
Tc  0.2224  0.5000  0.7500
Tc  0.5000  0.2224  0.0000
Tc  0.5000  0.7776  0.5000
Tc  0.7776  0.5000  0.2500
O  0.0324  0.2687  0.7399
O  0.0324  0.7313  0.7601
O  0.2687  0.0324  0.0101
O  0.2687  0.9676  0.4899
O  0.2722  0.4806  0.9774
O  0.2722  0.5194  0.5226
O  0.4806  0.2722  0.7726
O  0.4806  0.7278  0.7274
O  0.5194  0.2722  0.2274
O  0.5194  0.7278  0.2726
O  0.7278  0.4806  0.0226
O  0.7278  0.5194  0.4774
O  0.7313  0.0324  0.9899
O  0.7313  0.9676  0.5101
O  0.9676  0.2687  0.2601
O  0.9676  0.7313  0.2399

---

# 4
Compound: Hf2AlIr4
Source: the Alexandria database
Functional: PBE-GGA
Structure: optimized geometry

Summary:
calculated formation energy = 0.1334 eV/atom

Lattice parameters (Å, degrees): 7.4659 7.4659 7.4659 145.73 145.73 49.26
Fractional positions:
Hf  0.1400  0.1400  0.0000
Hf  0.8600  0.8600  0.0000
Al  0.5000  0.5000  0.0000
Ir  0.0000  0.5000  0.5000
Ir  0.3244  0.3244  0.0000
Ir  0.5000  0.0000  0.5000
Ir  0.6756  0.6756  0.0000

---

# 5
Compound: BaSr
Source: the Alexandria database
Functional: PBE-GGA
Structure: optimized geometry

Summary:
calculated formation energy = 0.0192 eV/atom
energy relative to the lowest polymorph listed for this composition = 19 meV/atom

Lattice parameters (Å, degrees): 14.5254 14.5254 14.5254 17.28 17.28 17.28
Fractional positions:
Ba  0.1231  0.1231  0.1231
Ba  0.8769  0.8769  0.8769
Sr  0.3732  0.3732  0.3732
Sr  0.6268  0.6268  0.6268

---

# 6
Compound: YPaRh4
Source: the Alexandria database
Functional: PBE-GGA
Structure: optimized geometry

Summary:
calculated formation energy = -0.6233 eV/atom
energy relative to the lowest polymorph listed for this composition = 51 meV/atom

Lattice parameters (Å, degrees): 7.0015 3.9029 16.6216 90.00 90.00 90.00
Fractional positions:
Y  0.1813  0.2500  0.2130
Y  0.3187  0.7500  0.7130
Y  0.6813  0.2500  0.2870
Y  0.8187  0.7500  0.7870
Pa  0.2008  0.7500  0.4665
Pa  0.2992  0.2500  0.9665
Pa  0.7008  0.7500  0.0335
Pa  0.7992  0.2500  0.5335
Rh  0.0339  0.7500  0.9381
Rh  0.0456  0.2500  0.3738
Rh  0.1431  0.2500  0.8220
Rh  0.2391  0.2500  0.5858
Rh  0.2609  0.7500  0.0858
Rh  0.3569  0.7500  0.3220
Rh  0.4544  0.7500  0.8738
Rh  0.4661  0.2500  0.4381
Rh  0.5339  0.7500  0.5619
Rh  0.5456  0.2500  0.1262
Rh  0.6431  0.2500  0.6780
Rh  0.7391  0.2500  0.9142
Rh  0.7609  0.7500  0.4142
Rh  0.8569  0.7500  0.1780
Rh  0.9544  0.7500  0.6262
Rh  0.9661  0.2500  0.0619

---

# 7
Compound: KZnPO4
Source: the Alexandria database
Functional: PBE-GGA
Structure: optimized geometry

Summary:
energy relative to the lowest polymorph listed for this composition = 0 meV/atom

Lattice parameters (Å, degrees): 8.7783 9.1546 5.3637 90.00 90.00 90.00
Fractional positions:
K  0.0032  0.2222  0.0000
K  0.4968  0.7222  0.5000
K  0.5032  0.2778  0.0000
K  0.9968  0.7778  0.5000
Zn  0.1862  0.5919  0.9942
Zn  0.3138  0.0919  0.4942
Zn  0.6862  0.9081  0.9942
Zn  0.8138  0.4081  0.4942
P  0.2100  0.4275  0.4990
P  0.2900  0.9275  0.9990
P  0.7100  0.0725  0.4990
P  0.7900  0.5725  0.9990
O  0.0369  0.4067  0.5220
O  0.2182  0.7918  0.8708
O  0.2200  0.9498  0.2648
O  0.2491  0.0653  0.8407
O  0.2509  0.5653  0.3407
O  0.2800  0.4498  0.7648
O  0.2818  0.2918  0.3708
O  0.4631  0.9067  0.0220
O  0.5369  0.0933  0.5220
O  0.7182  0.7082  0.8708
O  0.7200  0.5502  0.2648
O  0.7491  0.4347  0.8407
O  0.7509  0.9347  0.3407
O  0.7800  0.0502  0.7648
O  0.7818  0.2082  0.3708
O  0.9631  0.5933  0.0220

---

# 8
Compound: Al3SeI7
Source: the Alexandria database
Functional: PBE-GGA
Structure: optimized geometry

Summary:
electronic total energy = -2.92 eV per atom

Lattice parameters (Å, degrees): 7.9133 7.9133 7.4994 90.00 90.00 120.00
Fractional positions:
Al  0.0242  0.5121  0.0000
Al  0.4879  0.5121  0.0000
Al  0.4879  0.9758  0.0000
Se  0.3333  0.6667  0.1817
I  0.1693  0.3386  0.7722
I  0.1693  0.8307  0.7722
I  0.3393  0.1696  0.2016
I  0.6614  0.8307  0.7722
I  0.6667  0.3333  0.7780
I  0.8304  0.1696  0.2016
I  0.8304  0.6607  0.2016

---

Question: Number 8 is which compound?
Answer: Al3SeI7